A relaxed structure of Te2OsW, computed with PBE.

Computed properties:
N(E_F) ... 4.0 states/eV/f.u.
Relative energy among the computed polymorphs ... 119 meV/atom
ρ ... 11.513 g/cm³
Volume ... 22.69 A^3/atom

Structure (POSCAR):
```
Te2OsW
1.0
1.593 0.920 10.328
-1.593 0.920 10.328
0.000 -1.839 10.328
Te Os W
2 1 1
direct
0.000 0.000 0.000
0.198 0.198 0.198
0.732 0.732 0.732
0.466 0.466 0.466
```



A relaxed structure of Te4OsW, computed with PBE.

Computed properties:
N(E_F) ... 5.5 states/eV/f.u.
ρ ... 9.394 g/cm³
Final energy ... -24.42 eV/f.u.
Volume ... 26.06 A^3/atom

Structure (POSCAR):
```
Te4OsW
1.0
0.000 4.276 4.276
4.276 0.000 4.276
4.276 4.276 0.000
Te Os W
4 1 1
direct
0.125 0.125 0.125
0.125 0.125 0.625
0.125 0.625 0.125
0.625 0.125 0.125
0.500 0.500 0.500
0.750 0.750 0.750
```



A relaxed structure of Te2OsW, computed with PBE.

Computed properties:
N(E_F) ... 2.0 states/eV/f.u.
Relative energy among the computed polymorphs ... 529 meV/atom
ρ ... 12.511 g/cm³
Volume ... 20.88 A^3/atom

Structure (POSCAR):
```
Te2OsW
1.0
1.641 0.947 8.956
-1.641 0.947 8.956
0.000 -1.895 8.956
Te Os W
2 1 1
direct
0.094 0.094 0.094
0.906 0.906 0.906
0.000 0.000 0.000
0.500 0.500 0.500
```



A relaxed structure of Te2OsW, computed with PBE.

Computed properties:
N(E_F) ... 2.9 states/eV/f.u.
Relative energy among the computed polymorphs ... 431 meV/atom
ρ ... 13.803 g/cm³
Volume ... 18.93 A^3/atom

Structure (POSCAR):
```
Te2OsW
1.0
1.621 0.936 8.319
-1.621 0.936 8.319
0.000 -1.872 8.319
Te Os W
2 1 1
direct
0.250 0.250 0.250
0.750 0.750 0.750
0.000 0.000 0.000
0.500 0.500 0.500
```



A relaxed structure of TeOsW2, computed with PBE.

Computed properties:
N(E_F) ... 2.5 states/eV/f.u.
ρ ... 16.680 g/cm³
Final energy ... -36.77 eV/f.u.
Volume ... 17.06 A^3/atom

Structure (POSCAR):
```
TeOsW2
1.0
3.819 0.000 0.000
0.000 3.819 0.000
0.000 0.000 4.679
Te Os W
1 1 2
direct
0.000 0.000 0.000
0.500 0.500 0.000
0.000 0.500 0.500
0.500 0.000 0.500
```



A relaxed structure of TeOsW2, computed with PBE.

Computed properties:
N(E_F) ... 3.4 states/eV/f.u.
ρ ... 16.776 g/cm³
Final energy ... -37.07 eV/f.u.
Volume ... 16.96 A^3/atom

Structure (POSCAR):
```
TeOsW2
1.0
2.657 -4.262 0.000
2.657 4.262 0.000
0.000 0.000 2.996
Te Os W
1 1 2
direct
0.000 0.000 0.000
0.500 0.500 0.000
0.000 0.500 0.500
0.500 0.000 0.500
```



A relaxed structure of TeOsW, computed with PBE.

Computed properties:
N(E_F) ... 2.3 states/eV/f.u.
Relative energy among the computed polymorphs ... 297 meV/atom
ρ ... 16.019 g/cm³
Volume ... 17.33 A^3/atom

Structure (POSCAR):
```
TeOsW
1.0
-1.513 2.065 4.163
1.513 -2.065 4.163
1.513 2.065 -4.163
Te Os W
1 1 1
direct
0.000 0.000 0.000
0.323 0.323 0.000
0.675 0.675 0.000
```



A relaxed structure of Te2OsW, computed with PBE.

Computed properties:
N(E_F) ... 3.2 states/eV/f.u.
Relative energy among the computed polymorphs ... 24 meV/atom
ρ ... 10.505 g/cm³
Volume ... 24.87 A^3/atom

Structure (POSCAR):
```
Te2OsW
1.0
3.863 -1.952 0.000
3.863 1.952 0.000
-2.128 0.000 6.595
Te Os W
2 1 1
direct
0.000 0.000 0.000
0.220 0.220 0.564
0.751 0.751 0.224
0.460 0.460 0.318
```